(1)
Entry from Alexandria: a relaxed Ba2Li crystal (GGA-PBEsol).

Cell lengths 4.321, 4.321, 8.055 Å; angles 105.56, 105.56, 90.00 degrees
Atoms (fractional coordinates):
Ba 0.360 0.360 0.719
Ba 0.640 0.640 0.281
Li 0.000 0.000 0.000

Calculated values
Density of states at the Fermi level   3.5 states/eV/f.u.
SG   I4/mmm
Distance to the lowest polymorph of the same formula   0 meV/atom
Raw total energy   -2.057 eV/atom
Crystal system   tetragonal
Volume   139 Å³/f.u.



(2)
Entry from Alexandria: a relaxed BaLi crystal (GGA-PBEsol).

Cell lengths 4.128, 6.110, 7.272 Å; angles 114.84, 106.49, 90.00 degrees
Atoms (fractional coordinates):
Ba 0.899 0.649 0.798
Ba 0.101 0.351 0.202
Li 0.337 0.087 0.675
Li 0.663 0.913 0.325

Calculated values
Density of states at the Fermi level   2.0 states/eV/f.u.
SG   Imma
Distance to the lowest polymorph of the same formula   16 meV/atom
Raw total energy   -2.004 eV/atom
Crystal system   orthorhombic
Volume   79 Å³/f.u.



(3)
Entry from Alexandria: a relaxed BaLi2 crystal (GGA-PBEsol).

Cell lengths 3.854, 6.479, 8.667 Å; angles 108.92, 90.00, 107.30 degrees
Atoms (fractional coordinates):
Ba 0.842 0.684 0.873
Ba 0.158 0.316 0.127
Li 0.150 0.299 0.529
Li 0.470 0.939 0.301
Li 0.530 0.061 0.699
Li 0.850 0.701 0.471

Calculated values
Density of states at the Fermi level   2.5 states/eV/f.u.
SG   C2/m
Raw total energy   -1.961 eV/atom
Crystal system   monoclinic
Volume   97 Å³/f.u.